No. 1
## MgPaNi2H8 (PBE)

Data for an optimized crystal structure of MgPaNi2H8.

The structure in POSCAR format:
```
MgPaNi2H8
1.0
4.269 0.000 0.000
-2.135 3.697 0.000
0.000 0.000 6.652
Mg Pa Ni H
1 1 2 8
Direct
0.000 0.000 0.000 Mg
0.000 0.000 0.500 Pa
0.333 0.667 0.269 Ni
0.667 0.333 0.731 Ni
0.031 0.698 0.780 H
0.302 0.333 0.780 H
0.333 0.031 0.220 H
0.333 0.667 0.505 H
0.667 0.333 0.495 H
0.667 0.969 0.780 H
0.698 0.667 0.220 H
0.969 0.302 0.220 H
```

No. 2
## Sc5Fe (PBE)

Data for an optimized crystal structure of Sc5Fe.

The structure in POSCAR format:
```
Sc5Fe
1.0
5.686 0.000 0.000
-2.843 4.924 0.000
0.000 0.000 5.312
Sc Fe
5 1
Direct
0.000 0.500 0.000 Sc
0.333 0.667 0.500 Sc
0.500 0.000 0.000 Sc
0.500 0.500 0.000 Sc
0.667 0.333 0.500 Sc
0.000 0.000 0.500 Fe
```

No. 3
## LiAg2Au8 (PBE)

Data for an optimized crystal structure of LiAg2Au8.

The structure in POSCAR format:
```
LiAg2Au8
1.0
3.869 -6.636 0.000
3.869 6.636 0.000
-3.686 0.000 4.048
Li Ag Au
1 2 8
Direct
0.000 0.000 0.000 Li
0.307 0.693 0.500 Ag
0.693 0.307 0.500 Ag
0.094 0.314 0.826 Au
0.223 0.777 0.000 Au
0.314 0.094 0.826 Au
0.394 0.394 0.624 Au
0.606 0.606 0.376 Au
0.686 0.906 0.174 Au
0.777 0.223 0.000 Au
0.906 0.686 0.174 Au
```

No. 4
## Nd2Er3TmSb6 (PBE)

Data for an optimized crystal structure of Nd2Er3TmSb6.

The structure in POSCAR format:
```
Nd2Er3TmSb6
1.0
9.605 -2.205 0.000
9.605 2.205 0.000
-2.015 0.000 8.581
Nd Er Tm Sb
2 3 1 6
Direct
0.166 0.166 0.332 Nd
0.834 0.834 0.668 Nd
0.168 0.168 0.834 Er
0.500 0.500 0.500 Er
0.832 0.832 0.166 Er
0.500 0.500 0.000 Tm
0.004 0.004 0.753 Sb
0.334 0.334 0.925 Sb
0.336 0.336 0.411 Sb
0.664 0.664 0.589 Sb
0.666 0.666 0.075 Sb
0.996 0.996 0.247 Sb
```

No. 5
## CaMgCoCu2 (PBE)

Data for an optimized crystal structure of CaMgCoCu2.

The structure in POSCAR format:
```
CaMgCoCu2
1.0
4.895 0.000 0.000
0.000 4.895 0.000
0.000 0.000 4.668
Ca Mg Co Cu
1 1 1 2
Direct
0.000 0.000 0.000 Ca
0.500 0.500 0.500 Mg
0.000 0.000 0.500 Co
0.000 0.500 0.000 Cu
0.500 0.000 0.000 Cu
```

No. 6
## BaPuPb2O6 (PBE)

Data for an optimized crystal structure of BaPuPb2O6.

The structure in POSCAR format:
```
BaPuPb2O6
1.0
5.339 -3.051 0.000
5.339 3.051 0.000
-3.679 0.000 5.875
Ba Pu Pb O
1 1 2 6
Direct
0.000 0.000 0.000 Ba
0.500 0.500 0.500 Pu
0.237 0.237 0.655 Pb
0.763 0.763 0.345 Pb
0.170 0.659 0.634 O
0.312 0.312 0.223 O
0.341 0.830 0.366 O
0.659 0.170 0.634 O
0.688 0.688 0.777 O
0.830 0.341 0.366 O
```

No. 7
## Ta6ZnGa3 (PBE)

Data for an optimized crystal structure of Ta6ZnGa3.

The structure in POSCAR format:
```
Ta6ZnGa3
1.0
4.244 -6.616 0.000
4.244 6.616 0.000
0.000 0.000 6.505
Ta Zn Ga
12 2 6
Direct
0.008 0.434 0.016 Ta
0.050 0.950 0.500 Ta
0.249 0.374 0.303 Ta
0.268 0.732 0.240 Ta
0.374 0.249 0.803 Ta
0.434 0.008 0.516 Ta
0.566 0.992 0.016 Ta
0.626 0.751 0.303 Ta
0.732 0.268 0.740 Ta
0.751 0.626 0.803 Ta
0.950 0.050 0.000 Ta
0.992 0.566 0.516 Ta
0.173 0.827 0.839 Zn
0.827 0.173 0.339 Zn
0.078 0.289 0.663 Ga
0.289 0.078 0.163 Ga
0.399 0.601 0.907 Ga
0.601 0.399 0.407 Ga
0.711 0.922 0.663 Ga
0.922 0.711 0.163 Ga
```

No. 8
## Sm4H2CN (PBE)

Data for an optimized crystal structure of Sm4H2CN.

The structure in POSCAR format:
```
Sm4H2CN
1.0
6.275 0.000 0.000
0.000 3.634 0.000
-2.071 0.000 5.938
Sm H C N
4 2 1 1
Direct
0.240 0.000 0.228 Sm
0.254 0.500 0.770 Sm
0.746 0.500 0.230 Sm
0.760 0.000 0.772 Sm
0.000 0.000 0.500 H
0.500 0.500 0.500 H
0.500 0.000 0.000 C
0.000 0.500 0.000 N
```

No. 9
## Pm3Ho8In2 (PBE)

Data for an optimized crystal structure of Pm3Ho8In2.

The structure in POSCAR format:
```
Pm3Ho8In2
1.0
3.222 1.860 11.669
-3.222 1.860 11.669
0.000 -3.720 11.669
Pm Ho In
3 8 2
Direct
0.000 0.000 0.000 Pm
0.190 0.190 0.190 Pm
0.810 0.810 0.810 Pm
0.226 0.721 0.721 Ho
0.279 0.279 0.774 Ho
0.279 0.774 0.279 Ho
0.283 0.283 0.283 Ho
0.717 0.717 0.717 Ho
0.721 0.226 0.721 Ho
0.721 0.721 0.226 Ho
0.774 0.279 0.279 Ho
0.369 0.369 0.369 In
0.631 0.631 0.631 In
```

No. 10
## Cd3Pb5 (PBE)

Data for an optimized crystal structure of Cd3Pb5.

The structure in POSCAR format:
```
Cd3Pb5
1.0
9.111 0.000 0.000
-4.555 7.890 0.000
0.000 0.000 6.521
Cd Pb
6 10
Direct
0.000 0.407 0.250 Cd
0.000 0.593 0.750 Cd
0.407 0.000 0.250 Cd
0.407 0.407 0.750 Cd
0.593 0.000 0.750 Cd
0.593 0.593 0.250 Cd
0.000 0.228 0.750 Pb
0.000 0.772 0.250 Pb
0.228 0.000 0.750 Pb
0.228 0.228 0.250 Pb
0.333 0.667 0.000 Pb
0.333 0.667 0.500 Pb
0.667 0.333 0.000 Pb
0.667 0.333 0.500 Pb
0.772 0.000 0.250 Pb
0.772 0.772 0.750 Pb
```

No. 11
## LaPb2W (PBE)

Data for an optimized crystal structure of LaPb2W.

The structure in POSCAR format:
```
LaPb2W
1.0
3.175 0.000 0.000
0.000 5.566 0.000
0.000 0.000 5.913
La Pb W
1 2 1
Direct
0.000 0.000 0.000 La
0.500 0.000 0.521 Pb
0.500 0.500 0.236 Pb
0.500 0.500 0.745 W
```

No. 12
## TaZnH (PBE)

Data for an optimized crystal structure of TaZnH.

The structure in POSCAR format:
```
TaZnH
1.0
3.020 0.000 0.000
0.000 4.593 0.000
0.000 0.000 5.287
Ta Zn H
2 2 2
Direct
0.000 0.006 0.000 Ta
0.500 0.994 0.500 Ta
0.000 0.493 0.669 Zn
0.500 0.507 0.169 Zn
0.000 0.156 0.334 H
0.500 0.844 0.834 H
```

No. 13
## Ho2AlBr (PBE)

Data for an optimized crystal structure of Ho2AlBr.

The structure in POSCAR format:
```
Ho2AlBr
1.0
1.724 0.996 10.777
-1.724 0.996 10.777
0.000 -1.991 10.777
Ho Al Br
2 1 1
Direct
0.093 0.093 0.093 Ho
0.907 0.907 0.907 Ho
0.000 0.000 0.000 Al
0.500 0.500 0.500 Br
```

No. 14
## MnFeS2Cl (PBE)

Data for an optimized crystal structure of MnFeS2Cl.

The structure in POSCAR format:
```
MnFeS2Cl
1.0
4.509 0.000 0.000
0.000 4.509 0.000
0.000 0.000 4.567
Mn Fe S Cl
1 1 2 1
Direct
0.000 0.000 0.000 Mn
0.500 0.500 0.500 Fe
0.000 0.500 0.500 S
0.500 0.000 0.500 S
0.500 0.500 0.000 Cl
```

No. 15
## SiSb (PBE)

Data for an optimized crystal structure of SiSb.

The structure in POSCAR format:
```
SiSb
1.0
-5.812 5.812 2.044
5.812 -5.812 2.044
5.812 5.812 -2.044
Si Sb
4 4
Direct
0.138 0.306 0.444 Si
0.306 0.862 0.168 Si
0.694 0.138 0.832 Si
0.862 0.694 0.556 Si
0.095 0.743 0.838 Sb
0.257 0.095 0.351 Sb
0.743 0.905 0.649 Sb
0.905 0.257 0.162 Sb
```

No. 16
## CsAsAu2S4 (PBE)

Data for an optimized crystal structure of CsAsAu2S4.

The structure in POSCAR format:
```
CsAsAu2S4
1.0
-3.139 4.244 4.640
3.139 -4.244 4.640
3.139 4.244 -4.640
Cs As Au S
1 1 2 4
Direct
0.000 0.000 0.000 Cs
0.500 0.500 0.000 As
0.339 0.839 0.500 Au
0.661 0.161 0.500 Au
0.201 0.161 0.652 S
0.490 0.839 0.040 S
0.510 0.550 0.348 S
0.799 0.450 0.960 S
```

No. 17
## BaLiRu3 (PBE)

Data for an optimized crystal structure of BaLiRu3.

The structure in POSCAR format:
```
BaLiRu3
1.0
4.524 0.000 0.000
0.000 4.524 0.000
0.000 0.000 4.524
Ba Li Ru
1 1 3
Direct
0.000 0.000 0.000 Ba
0.500 0.500 0.500 Li
0.000 0.500 0.500 Ru
0.500 0.000 0.500 Ru
0.500 0.500 0.000 Ru
```

No. 18
## HfZrAl4 (PBE)

Data for an optimized crystal structure of HfZrAl4.

The structure in POSCAR format:
```
HfZrAl4
1.0
0.000 3.748 3.748
3.748 0.000 3.748
3.748 3.748 0.000
Hf Zr Al
1 1 4
Direct
0.000 0.000 0.000 Hf
0.250 0.250 0.250 Zr
0.125 0.625 0.625 Al
0.625 0.125 0.625 Al
0.625 0.625 0.125 Al
0.625 0.625 0.625 Al
```

No. 19
## AlMo2Cl (PBE)

Data for an optimized crystal structure of AlMo2Cl.

The structure in POSCAR format:
```
AlMo2Cl
1.0
-2.060 2.060 3.789
2.060 -2.060 3.789
2.060 2.060 -3.789
Al Mo Cl
1 2 1
Direct
0.000 0.000 0.000 Al
0.500 0.500 0.000 Mo
0.750 0.250 0.500 Mo
0.250 0.750 0.500 Cl
```

No. 20
## TaP2Os (PBE)

Data for an optimized crystal structure of TaP2Os.

The structure in POSCAR format:
```
TaP2Os
1.0
3.218 0.000 0.000
0.000 3.218 0.000
0.000 0.000 5.612
Ta P Os
1 2 1
Direct
0.000 0.000 0.000 Ta
0.000 0.000 0.521 P
0.500 0.500 0.807 P
0.500 0.500 0.359 Os
```

No. 21
## La11Pm4Y9 (PBE)

Data for an optimized crystal structure of La11Pm4Y9.

The structure in POSCAR format:
```
La11Pm4Y9
1.0
8.635 -13.022 0.000
8.635 13.022 0.000
0.000 0.000 3.754
La Pm Y
11 4 9
Direct
0.000 0.000 0.000 La
0.046 0.409 0.000 La
0.158 0.842 0.000 La
0.292 0.292 0.000 La
0.367 0.633 0.000 La
0.409 0.046 0.000 La
0.591 0.954 0.000 La
0.633 0.367 0.000 La
0.708 0.708 0.000 La
0.842 0.158 0.000 La
0.954 0.591 0.000 La
0.244 0.446 0.500 Pm
0.446 0.244 0.500 Pm
0.554 0.756 0.500 Pm
0.756 0.554 0.500 Pm
0.067 0.213 0.500 Y
0.164 0.634 0.500 Y
0.213 0.067 0.500 Y
0.366 0.836 0.500 Y
0.500 0.500 0.500 Y
0.634 0.164 0.500 Y
0.787 0.933 0.500 Y
0.836 0.366 0.500 Y
0.933 0.787 0.500 Y
```

No. 22
## Tb5TmSc3 (PBE)

Data for an optimized crystal structure of Tb5TmSc3.

The structure in POSCAR format:
```
Tb5TmSc3
1.0
7.274 -5.575 0.000
7.274 5.575 0.000
-6.080 0.000 7.348
Tb Tm Sc
10 2 6
Direct
0.109 0.614 0.259 Tb
0.224 0.224 0.236 Tb
0.245 0.755 0.000 Tb
0.247 0.247 0.595 Tb
0.386 0.891 0.741 Tb
0.614 0.109 0.259 Tb
0.753 0.753 0.405 Tb
0.755 0.245 0.000 Tb
0.776 0.776 0.764 Tb
0.891 0.386 0.741 Tb
0.280 0.280 0.964 Tm
0.720 0.720 0.036 Tm
0.000 0.000 0.500 Sc
0.011 0.011 0.821 Sc
0.481 0.481 0.638 Sc
0.500 0.500 0.000 Sc
0.519 0.519 0.362 Sc
0.989 0.989 0.179 Sc
```

What are the DFT total energy values for these records? In order: -51.1; -35.7; -34.1; -65.8; -12.7; -74.1; -80.1; -48.5; -54.5; -20.7; -23.0; -16.6; -15.2; -23.9; -8.5; -31.5; -25.4; -36.4; -25.0; -35.0; -130.0; -42.4 eV per formula unit.
What are the D(E_F) values for these records? In order: 6.449; 10.499; 2.884; 1.921; 3.944; 3.294; 12.564; 3.223; 17.976; 9.999; 4.220; 1.930; 4.058; 12.398; 4.289; 0.000; 9.128; 2.785; 1.121; 2.651; 36.063; 26.259 states/eV/cell.